DFT (PBE) results for a geometry-optimized Ba12Au3F5 structure.

Structure (POSCAR):
```
Ba12Au3F5
1.0
-9.061 9.061 9.061
9.061 -9.061 9.061
9.061 9.061 -9.061
Ba Au F
48 12 20
direct
0.026 0.212 0.121 Ba
0.026 0.314 0.905 Ba
0.091 0.712 0.686 Ba
0.091 0.879 0.405 Ba
0.095 0.621 0.409 Ba
0.095 0.974 0.686 Ba
0.121 0.026 0.212 Ba
0.121 0.595 0.909 Ba
0.186 0.212 0.591 Ba
0.186 0.474 0.595 Ba
0.212 0.121 0.026 Ba
0.212 0.591 0.186 Ba
0.288 0.314 0.909 Ba
0.288 0.474 0.379 Ba
0.314 0.905 0.026 Ba
0.314 0.909 0.288 Ba
0.379 0.288 0.474 Ba
0.379 0.591 0.905 Ba
0.405 0.091 0.879 Ba
0.405 0.814 0.526 Ba
0.409 0.095 0.621 Ba
0.409 0.814 0.788 Ba
0.474 0.379 0.288 Ba
0.474 0.595 0.186 Ba
0.526 0.405 0.814 Ba
0.526 0.621 0.712 Ba
0.591 0.186 0.212 Ba
0.591 0.905 0.379 Ba
0.595 0.186 0.474 Ba
0.595 0.909 0.121 Ba
0.621 0.409 0.095 Ba
0.621 0.712 0.526 Ba
0.686 0.091 0.712 Ba
0.686 0.095 0.974 Ba
0.712 0.526 0.621 Ba
0.712 0.686 0.091 Ba
0.788 0.409 0.814 Ba
0.788 0.879 0.974 Ba
0.814 0.526 0.405 Ba
0.814 0.788 0.409 Ba
0.879 0.405 0.091 Ba
0.879 0.974 0.788 Ba
0.905 0.026 0.314 Ba
0.905 0.379 0.591 Ba
0.909 0.121 0.595 Ba
0.909 0.288 0.314 Ba
0.974 0.686 0.095 Ba
0.974 0.788 0.879 Ba
0.125 0.250 0.375 Au
0.125 0.375 0.750 Au
0.250 0.375 0.125 Au
0.250 0.875 0.625 Au
0.375 0.125 0.250 Au
0.375 0.750 0.125 Au
0.625 0.250 0.875 Au
0.625 0.875 0.750 Au
0.750 0.125 0.375 Au
0.750 0.625 0.875 Au
0.875 0.625 0.250 Au
0.875 0.750 0.625 Au
0.000 0.000 0.000 F
0.000 0.000 0.500 F
0.000 0.500 0.000 F
0.000 0.500 0.500 F
0.125 0.750 0.875 F
0.125 0.875 0.250 F
0.250 0.125 0.875 F
0.250 0.625 0.375 F
0.375 0.250 0.625 F
0.375 0.625 0.750 F
0.500 0.000 0.000 F
0.500 0.000 0.500 F
0.500 0.500 0.000 F
0.500 0.500 0.500 F
0.625 0.375 0.250 F
0.625 0.750 0.375 F
0.750 0.375 0.625 F
0.750 0.875 0.125 F
0.875 0.125 0.750 F
0.875 0.250 0.125 F
```

Summary:
Formation energy (no corrections) in meV/atom: -1539.2
Space group: Ia-3d, No. 230